# 1
K2NaCdP2 after structural relaxation, computed with PBE-GGA.

a = 6.617 Å, b = 6.541 Å, c = 8.970 Å
α = 111.38°, β = 111.65°, γ = 90.00°
Site moments in Bohr magnetons follow the coordinates.
Positions (direct):
K 0.420 0.176 0.352  0.00
K 0.580 0.824 0.648  0.00
K 0.069 0.324 0.648  0.00
K 0.931 0.676 0.352  0.00
Na 0.000 0.750 0.000  0.00
Na 0.000 0.250 0.000  0.00
Cd 0.500 0.750 0.000  0.01
Cd 0.500 0.250 0.000  0.01
P 0.824 0.102 0.204  0.09
P 0.380 0.602 0.204  0.09
P 0.620 0.398 0.796  0.09
P 0.176 0.898 0.796  0.09

Summary:
**E_form**: -0.272 eV/atom
**E**: -2.81 eV/atom
**ρ**: 2.76 Mg/m³



# 2
Rb2MgZnMo after structural relaxation, computed with PBE-GGA.

a = 6.874 Å, b = 5.125 Å, c = 6.874 Å
α = 90.00°, β = 90.00°, γ = 90.00°
Site moments in Bohr magnetons follow the coordinates.
Positions (direct):
Mg 0.500 0.500 0.500  -0.01
Mo 0.000 0.000 0.000  3.21
Zn 0.000 0.500 0.000  0.02
Rb 0.000 0.000 0.500  0.01
Rb 0.500 0.000 0.000  0.02

Summary:
**E_form**: 1.126 eV/atom
**E**: -2.00 eV/atom
**ρ**: 2.45 Mg/m³



# 3
TbErCo after structural relaxation, computed with PBE-GGA.

a = 3.356 Å, b = 3.356 Å, c = 6.720 Å
α = 104.46°, β = 104.46°, γ = 90.00°
Site moments in Bohr magnetons follow the coordinates.
Positions (direct):
Tb 0.037 0.037 0.075  -0.08
Co 0.668 0.668 0.337  0.83
Er 0.294 0.294 0.588  -0.08

Summary:
**E_form**: -0.123 eV/atom
**E**: -5.56 eV/atom
**Energy above the most stable polymorph in this dataset**: 21 meV per atom
**ρ**: 9.03 Mg/m³



# 4
CeSmZrSc after structural relaxation, computed with PBE-GGA.

a = 5.354 Å, b = 5.354 Å, c = 5.354 Å
α = 60.00°, β = 60.00°, γ = 60.00°
Positions (direct):
Sc 0.250 0.250 0.250
Zr 0.750 0.750 0.750
Ce 0.500 0.500 0.500
Sm 0.000 0.000 0.000

Summary:
**E_form**: 0.181 eV/atom
**E**: -6.20 eV/atom
**ρ**: 6.53 Mg/m³



# 5
Y3LuFe after structural relaxation, computed with PBE-GGA.

a = 5.266 Å, b = 5.266 Å, c = 5.266 Å
α = 90.00°, β = 90.00°, γ = 90.00°
Positions (direct):
Y 0.000 0.500 0.000
Y 0.000 0.000 0.500
Y 0.500 0.000 0.000
Lu 0.500 0.500 0.500
Fe 0.000 0.000 0.000

Summary:
**E_form**: 0.141 eV/atom
**E**: -6.33 eV/atom
**ρ**: 5.66 Mg/m³



# 6
AcPuTlIn after structural relaxation, computed with PBE-GGA.

a = 5.636 Å, b = 5.636 Å, c = 5.636 Å
α = 60.00°, β = 60.00°, γ = 60.00°
Site moments in Bohr magnetons follow the coordinates.
Positions (direct):
Ac 0.750 0.750 0.750  0.10
In 0.500 0.500 0.500  -0.01
Tl 0.000 0.000 0.000  0.00
Pu 0.250 0.250 0.250  5.58

Summary:
**E_form**: -0.164 eV/atom
**E**: -6.05 eV/atom
**ρ**: 10.37 Mg/m³



# 7
ErLuInPt after structural relaxation, computed with PBE-GGA.

a = 5.057 Å, b = 5.057 Å, c = 5.057 Å
α = 60.00°, β = 60.00°, γ = 60.00°
Positions (direct):
Lu 0.500 0.500 0.500
In 0.250 0.250 0.250
Pt 0.750 0.750 0.750
Er 0.000 0.000 0.000

Summary:
**E_form**: -0.776 eV/atom
**E**: -5.24 eV/atom
**ρ**: 11.84 Mg/m³



# 8
ScTlPdSe2 after structural relaxation, computed with PBE-GGA.

a = 5.297 Å, b = 5.430 Å, c = 5.297 Å
α = 90.00°, β = 90.00°, γ = 90.00°
Positions (direct):
Sc 0.000 0.500 0.000
Tl 0.000 0.000 0.000
Se 0.000 0.000 0.500
Se 0.500 0.000 0.000
Pd 0.500 0.500 0.500

Summary:
**E**: -3.37 eV/atom
**ρ**: 5.60 Mg/m³
**Formation energy from raw total energies**: 0.800 eV/atom



# 9
Tb4ErPd4 after structural relaxation, computed with PBE-GGA.

a = 5.824 Å, b = 8.919 Å, c = 8.919 Å
α = 90.00°, β = 90.00°, γ = 90.00°
Positions (direct):
Tb 0.409 0.315 0.911
Tb 0.909 0.589 0.815
Tb 0.409 0.685 0.089
Tb 0.091 0.185 0.589
Tb 0.591 0.911 0.685
Tb 0.091 0.815 0.411
Tb 0.909 0.411 0.185
Tb 0.591 0.089 0.315
Er 0.000 0.000 0.000
Er 0.500 0.500 0.500
Pd 0.596 0.779 0.380
Pd 0.596 0.221 0.620
Pd 0.096 0.880 0.721
Pd 0.904 0.279 0.880
Pd 0.904 0.721 0.120
Pd 0.404 0.380 0.221
Pd 0.404 0.620 0.779
Pd 0.096 0.120 0.279

Summary:
**E_form**: -0.669 eV/atom
**E**: -5.54 eV/atom
**ρ**: 8.81 Mg/m³



# 10
TaInSb2I after structural relaxation, computed with PBE-GGA.

a = 5.493 Å, b = 5.493 Å, c = 5.693 Å
α = 90.00°, β = 90.00°, γ = 90.00°
Site moments in Bohr magnetons follow the coordinates.
Positions (direct):
I 0.000 0.000 0.500  -0.09
Sb 0.000 0.500 0.000  -0.11
Sb 0.500 0.000 0.000  -0.11
In 0.000 0.000 0.000  0.01
Ta 0.500 0.500 0.500  1.95

Summary:
**E**: -3.41 eV/atom
**Energy above the most stable polymorph in this dataset**: 1176 meV per atom
**ρ**: 6.44 Mg/m³
**Formation energy from raw total energies**: 1.469 eV/atom



# 11
Ac2SbO after structural relaxation, computed with PBE-GGA.

a = 3.611 Å, b = 3.611 Å, c = 7.890 Å
α = 90.00°, β = 90.00°, γ = 90.00°
Positions (direct):
Sb 0.500 0.500 0.500
Ac 0.000 0.000 0.782
Ac 0.000 0.000 0.218
O 0.500 0.500 0.000

Summary:
**E**: -5.52 eV/atom
**Energy above the most stable polymorph in this dataset**: 758 meV per atom
**ρ**: 9.55 Mg/m³
**Formation energy from raw total energies**: -1.201 eV/atom



# 12
Pr5Sm6Ho after structural relaxation, computed with PBE-GGA.

a = 12.123 Å, b = 6.335 Å, c = 6.333 Å
α = 59.99°, β = 84.99°, γ = 79.94°
Positions (direct):
Pr 0.500 0.167 0.667
Pr 0.000 0.333 0.333
Pr 0.500 0.500 0.000
Pr 0.000 0.667 0.667
Pr 0.500 0.833 0.333
Sm 0.752 0.083 0.332
Sm 0.248 0.585 0.332
Sm 0.249 0.249 0.000
Sm 0.751 0.751 0.000
Sm 0.752 0.415 0.668
Sm 0.248 0.917 0.668
Ho 0.000 0.000 0.000

Summary:
**E_form**: 0.014 eV/atom
**E**: -4.72 eV/atom
**ρ**: 7.09 Mg/m³